[1]
Here is an optimized crystal structure of NaPrZrO4 from Alexandria. Energies are from PBE.

- crystal system = tetragonal
- space-group type = I4mm, No. 107
- density (g/cm3) = 5.07
- final energy (eV per atom) = -7.8010
- formation energy from raw total energies (eV per atom) = -2.875

The structure in POSCAR format:
```
NaPrZrO4
1.0
-2.608 0.928 2.954
-1.388 -3.803 -0.031
6.361 -0.191 2.901
Zr O Na Pr
1 4 1 1
Direct
0.013 0.013 0.026
0.483 0.983 0.966
0.834 0.834 0.667
0.173 0.173 0.345
0.983 0.483 0.966
0.662 0.662 0.323
0.353 0.353 0.706
```

=====

[2]
Here is an optimized crystal structure of K3Au from Alexandria. Energies are from PBE.

- crystal system = orthorhombic
- space-group type = Cmmm, No. 65
- density (g/cm3) = 3.06
- final energy (eV per atom) = -1.7066

The structure in POSCAR format:
```
K3Au
1.0
5.550 0.038 0.000
-0.044 5.550 0.000
0.000 0.000 5.531
K Au
3 1
Direct
0.500 0.500 0.000
0.500 0.000 0.500
0.000 0.500 0.500
0.000 0.000 0.000
```

=====

What is the final energy in the first record?
-7.8010 eV per atom